# Pm8HoIn6

A relaxed structure of Pm8HoIn6 (PBE-GGA, Alexandria).

The value obtained for the raw total energy is -4.1738 eV per atom.

Cell: 9.1817 9.1817 19.8335 Å, 90.00 90.00 120.00°
Last column: nearest neighbours and their distance in Å.
Space group R-3 (No. 148, hexagonal axes)
Unique sites:
1 Pm 0.0000 0.0000 0.1659 x6  6 In 3.27
2 Pm 0.9997 0.3339 0.6150 x18  5 In 3.24-3.37
3 Ho 0.0000 0.0000 0.5000 x3  6 In 3.20
4 In 0.0003 0.3284 0.4452 x18  1 Ho 3.20, 7 Pm 3.24-3.37